1.
Density functional theory data (PBE) for KCdNi3 after structural relaxation.

a = 4.571 Å, b = 4.571 Å, c = 4.571 Å
α = 90.00°, β = 90.00°, γ = 90.00°
Sites, in units of the cell vectors:
K 0.000 0.000 0.000
Cd 0.500 0.500 0.500
Ni 0.000 0.000 0.500
Ni 0.000 0.500 0.000
Ni 0.500 0.000 0.000

Results
formation energy from the elements = 1.806 eV/atom
calculated volume = 19.097 Å³ per atom
raw total energy = -10.3 eV/cell
E above lowest polymorph = 746.1 meV/atom

---

2.
Density functional theory data (PBE) for Tb4Ce3PrS8 after structural relaxation.

a = 8.002 Å, b = 8.002 Å, c = 8.002 Å
α = 59.52°, β = 59.52°, γ = 59.52°
Sites, in units of the cell vectors:
Tb 0.000 0.000 0.000
Tb 0.000 0.500 0.500
Tb 0.500 0.000 0.500
Tb 0.500 0.500 0.000
Ce 0.000 0.000 0.500
Ce 0.000 0.500 0.000
Ce 0.500 0.000 0.000
Pr 0.500 0.500 0.500
S 0.245 0.245 0.749
S 0.245 0.749 0.245
S 0.251 0.755 0.755
S 0.253 0.253 0.253
S 0.747 0.747 0.747
S 0.749 0.245 0.245
S 0.755 0.251 0.755
S 0.755 0.755 0.251

Results
formation energy from raw total energies = -2033 meV per atom
calculated volume = 22.398 Å³ per atom
raw total energy = -106.6 eV/cell

---

> What is the calculated volume in the second record?

22.398 Å³ per atom

---

What did the second record say?
Density functional theory data (PBE) for Tb4Ce3PrS8 after structural relaxation.

a = 8.002 Å, b = 8.002 Å, c = 8.002 Å
α = 59.52°, β = 59.52°, γ = 59.52°
Sites, in units of the cell vectors:
Tb 0.000 0.000 0.000
Tb 0.000 0.500 0.500
Tb 0.500 0.000 0.500
Tb 0.500 0.500 0.000
Ce 0.000 0.000 0.500
Ce 0.000 0.500 0.000
Ce 0.500 0.000 0.000
Pr 0.500 0.500 0.500
S 0.245 0.245 0.749
S 0.245 0.749 0.245
S 0.251 0.755 0.755
S 0.253 0.253 0.253
S 0.747 0.747 0.747
S 0.749 0.245 0.245
S 0.755 0.251 0.755
S 0.755 0.755 0.251

Results
formation energy from raw total energies = -2033 meV per atom
calculated volume = 22.398 Å³ per atom
raw total energy = -106.6 eV/cell